Entry 1:
An optimized crystal structure of TcOs5. Source: the Alexandria database, functional PBE.

```
TcOs5
1.0
3.759 4.687 0.941
-4.461 -2.002 -3.616
-2.630 1.640 2.337
Tc Os
1 5
Cartesian
-0.351 1.342 -1.338 Tc
2.388 3.571 0.181 Os
-1.315 0.820 1.168 Os
-3.036 1.048 -0.929 Os
-0.296 3.277 0.590 Os
-3.090 -0.887 -2.856 Os
```

Properties
raw total energy = -10.98 eV/atom
ΔE_f = 0.108 eV/atom
density of states at the Fermi level = 6.5 states/eV/f.u.
crystal system = orthorhombic

***

Entry 2:
An optimized crystal structure of TcTe2Os. Source: the Alexandria database, functional PBE.

```
TcTe2Os
1.0
-1.759 -2.631 -4.213
2.693 -3.051 3.348
-2.237 -3.505 1.122
Os Te Tc
1 2 1
Cartesian
-1.998 -3.068 -1.546 Os
0.467 -2.841 -0.433 Te
0.000 0.000 0.000 Te
0.228 -3.278 2.235 Tc
```

Properties
raw total energy = -5.99 eV/atom
density of states at the Fermi level = 5.6 states/eV/f.u.
formation energy without anion corrections = 981 meV/atom
crystal system = monoclinic

***

Entry 3:
An optimized crystal structure of TcTeOs4. Source: the Alexandria database, functional PBE.

```
TcTeOs4
1.0
-0.069 -5.218 -0.071
-3.211 -2.611 3.179
-4.124 -2.529 -1.958
Os Te Tc
4 1 1
Cartesian
-4.586 -3.874 0.753 Os
-4.621 -6.463 0.718 Os
-3.027 -5.168 -0.860 Os
-2.574 -5.209 1.689 Os
0.000 0.000 0.000 Te
-1.851 -2.589 0.287 Tc
```

Properties
raw total energy = -8.71 eV/atom
density of states at the Fermi level = 9.8 states/eV/f.u.
formation energy without anion corrections = 1031 meV/atom
crystal system = cubic

***

Entry 4:
An optimized crystal structure of TcTe3Os. Source: the Alexandria database, functional PBE.

```
TcTe3Os
1.0
-0.176 -3.239 3.881
3.308 -3.010 -2.362
3.822 2.456 2.223
Os Te Tc
1 3 1
Cartesian
3.477 -1.896 1.871 Os
-0.088 -1.619 1.941 Te
1.911 1.228 1.112 Te
1.654 -1.505 -1.181 Te
0.000 0.000 0.000 Tc
```

Properties
raw total energy = -4.67 eV/atom
density of states at the Fermi level = 5.6 states/eV/f.u.
formation energy without anion corrections = 1530 meV/atom
crystal system = cubic

***

Entry 5:
An optimized crystal structure of TcTe2Os. Source: the Alexandria database, functional PBE.

```
TcTe2Os
1.0
-2.021 0.027 -5.148
3.472 -0.511 -4.274
-1.013 -2.535 4.809
Os Te Tc
1 2 1
Cartesian
0.726 -0.242 -4.711 Os
0.000 0.000 0.000 Te
1.593 -1.644 -2.088 Te
-1.154 -1.375 -2.525 Tc
```

Properties
raw total energy = -6.04 eV/atom
density of states at the Fermi level = 4.7 states/eV/f.u.
formation energy without anion corrections = 926 meV/atom
crystal system = tetragonal

***

Entry 6:
An optimized crystal structure of TcTe2Os. Source: the Alexandria database, functional PBE.

```
TcTe2Os
1.0
6.056 0.198 -0.086
3.299 5.083 0.086
-4.182 -3.518 2.618
Os Te Tc
1 2 1
Cartesian
4.989 2.816 0.000 Os
0.123 0.070 0.000 Te
3.149 -0.411 1.266 Te
1.589 1.928 1.352 Tc
```

Properties
raw total energy = -6.23 eV/atom
density of states at the Fermi level = 3.1 states/eV/f.u.
formation energy without anion corrections = 738 meV/atom
crystal system = orthorhombic

***

Q: Look up the raw total energy of the fourth one.
A: -4.67 eV/atom